# Dy2TiCd | Alexandria | PBE-GGA | optimized geometry
data_Dy2TiCd
_chemical_formula_sum 'Dy2 Ti1 Cd1'
_space_group_name_H-M_alt 'P 4/m m m'
_space_group_IT_number 123
_space_group_name_Hall '-P 4 2'
_cell_length_a 3.4048
_cell_length_b 3.4048
_cell_length_c 8.6418
_cell_angle_alpha 90.00
_cell_angle_beta 90.00
_cell_angle_gamma 90.00
loop_
_atom_site_label
_atom_site_type_symbol
_atom_site_fract_x
_atom_site_fract_y
_atom_site_fract_z
Dy1 Dy 0.0000 0.0000 0.2402
Ti1 Ti 0.5000 0.5000 0.0000
Cd1 Cd 0.5000 0.5000 0.5000
# Final energy: -4.54 eV per atom
# Formation energy: -0.037 eV/atom
# Theoretical density: 8044 kg/m3
# Size of the total moment: 0.0 μB per formula unit
# Energy above the most stable polymorph in this dataset: 0.00 kJ per mole of atoms


# Er2Mg5Tl3Pb2 | Alexandria | PBE-GGA | optimized geometry
data_Er2Mg5Tl3Pb2
_chemical_formula_sum 'Er4 Mg10 Tl6 Pb4'
_space_group_name_H-M_alt 'I 4/m m m'
_space_group_IT_number 139
_space_group_name_Hall '-I 4 2'
_cell_length_a 4.3866
_cell_length_b 4.3866
_cell_length_c 35.9996
_cell_angle_alpha 90.00
_cell_angle_beta 90.00
_cell_angle_gamma 90.00
loop_
_atom_site_label
_atom_site_type_symbol
_atom_site_fract_x
_atom_site_fract_y
_atom_site_fract_z
Er1 Er 0.0000 0.0000 0.2159
Mg1 Mg 0.0000 0.0000 0.0000
Mg2 Mg 0.0000 0.5000 0.1409
Tl1 Tl 0.0000 0.0000 0.3019
Tl2 Tl 0.0000 0.0000 0.5000
Pb1 Pb 0.0000 0.0000 0.0813
# Final energy: -2.66 eV per atom
# Formation energy: -0.029 eV/atom
# Theoretical density: 7113 kg/m3
# Size of the total moment: 0.0 μB per formula unit